The following is a PBE-GGA calculation of crystalline TbCe2Pm3Er6 at its relaxed geometry, from the Alexandria database.

Symmetry: C2/m, No. 12
Formation enthalpy at 0 K, eV/atom: 0.044
E, eV per cell: -57.60
Density of states at the Fermi level, states/eV/f.u.: 19.8

CIF file:
```
data_TbCe2Pm3Er6
_cell_length_a 6.1521
_cell_length_b 6.1521
_cell_length_c 11.6830
_cell_angle_alpha 95.03
_cell_angle_beta 95.03
_cell_angle_gamma 119.98
_symmetry_space_group_name_H-M 'P 1'
_symmetry_Int_Tables_number 1
loop_
_symmetry_equiv_pos_as_xyz
'x,y,z'
loop_
_atom_site_label
_atom_site_fract_x
_atom_site_fract_y
_atom_site_fract_z
Tb1 0.0000 0.0000 0.0000
Ce1 0.3336 0.6664 0.0000
Ce2 0.6664 0.3336 0.0000
Pm1 0.1660 0.8340 0.5000
Pm2 0.8340 0.1660 0.5000
Pm3 0.5000 0.5000 0.5000
Er1 0.9174 0.5820 0.7533
Er2 0.7471 0.7471 0.2468
Er3 0.0826 0.4180 0.2467
Er4 0.5820 0.9174 0.7533
Er5 0.2529 0.2529 0.7532
Er6 0.4180 0.0826 0.2467
```



The following is a PBE-GGA calculation of crystalline MnCo2SnB at its relaxed geometry, from the Alexandria database.

Symmetry: P4/mmm, No. 123
Formation enthalpy at 0 K, eV/atom: -0.069
E, eV per cell: -34.40
Density of states at the Fermi level, states/eV/f.u.: 3.0

CIF file:
```
data_MnCo2SnB
_cell_length_a 3.8999
_cell_length_b 3.9227
_cell_length_c 3.8999
_cell_angle_alpha 90.00
_cell_angle_beta 90.00
_cell_angle_gamma 90.00
_symmetry_space_group_name_H-M 'P 1'
_symmetry_Int_Tables_number 1
loop_
_symmetry_equiv_pos_as_xyz
'x,y,z'
loop_
_atom_site_label
_atom_site_fract_x
_atom_site_fract_y
_atom_site_fract_z
B1 0.0000 0.0000 0.0000
Mn1 0.0000 0.5000 0.0000
Co1 0.0000 0.0000 0.5000
Co2 0.5000 0.0000 0.0000
Sn1 0.5000 0.5000 0.5000
```



The following is a PBE-GGA calculation of crystalline NdCO4 at its relaxed geometry, from the Alexandria database.

Symmetry: Pnma, No. 62
Formation energy (no corrections), eV per atom: -1.936
E, eV per cell: -181.77
Density of states at the Fermi level, states/eV/f.u.: 3.6
E above lowest polymorph, eV/f.u.: 0.25

CIF file:
```
data_NdCO4
_cell_length_a 4.6287
_cell_length_b 6.0786
_cell_length_c 11.5448
_cell_angle_alpha 90.00
_cell_angle_beta 90.00
_cell_angle_gamma 90.00
_symmetry_space_group_name_H-M 'P 1'
_symmetry_Int_Tables_number 1
loop_
_symmetry_equiv_pos_as_xyz
'x,y,z'
loop_
_atom_site_label
_atom_site_fract_x
_atom_site_fract_y
_atom_site_fract_z
Nd1 0.7500 0.7156 0.9316
Nd2 0.7500 0.2156 0.5684
Nd3 0.2500 0.2844 0.0684
Nd4 0.2500 0.7844 0.4316
C1 0.7500 0.6959 0.6382
C2 0.7500 0.1959 0.8618
C3 0.2500 0.3041 0.3618
C4 0.2500 0.8041 0.1382
O1 0.7500 0.4122 0.0590
O2 0.7500 0.9122 0.4410
O3 0.2500 0.5878 0.9410
O4 0.2500 0.0878 0.5590
O5 0.7500 0.8594 0.7084
O6 0.7500 0.3594 0.7916
O7 0.2500 0.1406 0.2916
O8 0.2500 0.6406 0.2084
O9 0.9854 0.6055 0.6019
O10 0.5146 0.1055 0.8981
O11 0.4854 0.3945 0.3981
O12 0.0146 0.8945 0.1019
O13 0.0146 0.3945 0.3981
O14 0.4854 0.8945 0.1019
O15 0.5146 0.6055 0.6019
O16 0.9854 0.1055 0.8981
```



The following is a PBE-GGA calculation of crystalline Y4NiSb at its relaxed geometry, from the Alexandria database.

Symmetry: F-43m, No. 216
Formation energy (no corrections), eV per atom: 0.456
E, eV per cell: -33.02
Density of states at the Fermi level, states/eV/f.u.: 9.4
E above lowest polymorph, eV/f.u.: 5.86

CIF file:
```
data_Y4NiSb
_cell_length_a 6.1745
_cell_length_b 6.1745
_cell_length_c 6.1745
_cell_angle_alpha 60.00
_cell_angle_beta 60.00
_cell_angle_gamma 60.00
_symmetry_space_group_name_H-M 'P 1'
_symmetry_Int_Tables_number 1
loop_
_symmetry_equiv_pos_as_xyz
'x,y,z'
loop_
_atom_site_label
_atom_site_fract_x
_atom_site_fract_y
_atom_site_fract_z
Y1 0.8753 0.3749 0.3749
Y2 0.3749 0.3749 0.8753
Y3 0.3749 0.8753 0.3749
Y4 0.3749 0.3749 0.3749
Ni1 0.7500 0.7500 0.7500
Sb1 0.0000 0.0000 0.0000
```



The following is a PBE-GGA calculation of crystalline K6RbAu4 at its relaxed geometry, from the Alexandria database.

Symmetry: I4/mmm, No. 139
Formation enthalpy at 0 K, eV/atom: -0.200
E, eV per cell: -22.86
Density of states at the Fermi level, states/eV/f.u.: 8.3

CIF file:
```
data_K6RbAu4
_cell_length_a 5.5270
_cell_length_b 5.5270
_cell_length_c 15.5094
_cell_angle_alpha 100.26
_cell_angle_beta 100.26
_cell_angle_gamma 90.00
_symmetry_space_group_name_H-M 'P 1'
_symmetry_Int_Tables_number 1
loop_
_symmetry_equiv_pos_as_xyz
'x,y,z'
loop_
_atom_site_label
_atom_site_fract_x
_atom_site_fract_y
_atom_site_fract_z
K1 0.7500 0.2500 0.5000
K2 0.8870 0.3870 0.7739
K3 0.1130 0.6130 0.2261
K4 0.6130 0.1130 0.2261
K5 0.3870 0.8870 0.7739
K6 0.2500 0.7500 0.5000
Rb1 0.0000 0.0000 0.0000
Au1 0.4536 0.4536 0.9071
Au2 0.1807 0.1807 0.3615
Au3 0.8193 0.8193 0.6385
Au4 0.5464 0.5464 0.0929
```



The following is a PBE-GGA calculation of crystalline ZnBPd2 at its relaxed geometry, from the Alexandria database.

Symmetry: I-42d, No. 122
Formation enthalpy at 0 K, eV/atom: -0.133
E, eV per cell: -37.74
Density of states at the Fermi level, states/eV/f.u.: 1.2
E above lowest polymorph, eV/f.u.: 0.00

CIF file:
```
data_ZnBPd2
_cell_length_a 6.4615
_cell_length_b 6.4615
_cell_length_c 5.2769
_cell_angle_alpha 52.25
_cell_angle_beta 52.25
_cell_angle_gamma 90.00
_symmetry_space_group_name_H-M 'P 1'
_symmetry_Int_Tables_number 1
loop_
_symmetry_equiv_pos_as_xyz
'x,y,z'
loop_
_atom_site_label
_atom_site_fract_x
_atom_site_fract_y
_atom_site_fract_z
Zn1 0.0000 0.0000 0.0000
Zn2 0.7500 0.2500 0.5000
B1 0.5000 0.5000 0.0000
B2 0.2500 0.7500 0.5000
Pd1 0.5418 0.1250 0.2500
Pd2 0.2082 0.6250 0.2500
Pd3 0.3750 0.4582 0.7500
Pd4 0.8750 0.7918 0.7500
```



The following is a PBE-GGA calculation of crystalline PaNiS at its relaxed geometry, from the Alexandria database.

Symmetry: R-3m, No. 166
Formation energy (no corrections), eV per atom: -0.744
E, eV per cell: -43.28
Density of states at the Fermi level, states/eV/f.u.: 0.3
E above lowest polymorph, eV/f.u.: 0.59

CIF file:
```
data_PaNiS
_cell_length_a 3.9349
_cell_length_b 3.9349
_cell_length_c 11.0692
_cell_angle_alpha 79.76
_cell_angle_beta 79.76
_cell_angle_gamma 60.00
_symmetry_space_group_name_H-M 'P 1'
_symmetry_Int_Tables_number 1
loop_
_symmetry_equiv_pos_as_xyz
'x,y,z'
loop_
_atom_site_label
_atom_site_fract_x
_atom_site_fract_y
_atom_site_fract_z
Pa1 0.2676 0.2676 0.1973
Pa2 0.7324 0.7324 0.8027
Ni1 0.3542 0.3542 0.9374
Ni2 0.6458 0.6458 0.0626
S1 0.8888 0.8888 0.3336
S2 0.1112 0.1112 0.6664
```



The following is a PBE-GGA calculation of crystalline Sm6SbO12 at its relaxed geometry, from the Alexandria database.

Symmetry: R-3, No. 148
Formation energy (no corrections), eV per atom: -3.026
E, eV per cell: -149.43
Density of states at the Fermi level, states/eV/f.u.: 7.4

CIF file:
```
data_Sm6SbO12
_cell_length_a 6.6561
_cell_length_b 6.6561
_cell_length_c 6.6561
_cell_angle_alpha 98.77
_cell_angle_beta 98.77
_cell_angle_gamma 98.77
_symmetry_space_group_name_H-M 'P 1'
_symmetry_Int_Tables_number 1
loop_
_symmetry_equiv_pos_as_xyz
'x,y,z'
loop_
_atom_site_label
_atom_site_fract_x
_atom_site_fract_y
_atom_site_fract_z
Sm1 0.7002 0.8601 0.3903
Sm2 0.6097 0.2998 0.1399
Sm3 0.1399 0.6097 0.2998
Sm4 0.2998 0.1399 0.6097
Sm5 0.3903 0.7002 0.8601
Sm6 0.8601 0.3903 0.7002
Sb1 0.0000 0.0000 0.0000
O1 0.8225 0.5598 0.4108
O2 0.4108 0.8225 0.5598
O3 0.5598 0.4108 0.8225
O4 0.1775 0.4402 0.5892
O5 0.5892 0.1775 0.4402
O6 0.4402 0.5892 0.1775
O7 0.0667 0.9606 0.2996
O8 0.0394 0.7004 0.9333
O9 0.7004 0.9333 0.0394
O10 0.9333 0.0394 0.7004
O11 0.9606 0.2996 0.0667
O12 0.2996 0.0667 0.9606
```



The following is a PBE-GGA calculation of crystalline Ho2Zn2InRh5 at its relaxed geometry, from the Alexandria database.

Symmetry: P4/mbm, No. 127
Formation enthalpy at 0 K, eV/atom: -0.617
E, eV per cell: -114.74
Density of states at the Fermi level, states/eV/f.u.: 5.7

CIF file:
```
data_Ho2Zn2InRh5
_cell_length_a 3.6863
_cell_length_b 9.6527
_cell_length_c 9.6527
_cell_angle_alpha 90.00
_cell_angle_beta 90.00
_cell_angle_gamma 90.00
_symmetry_space_group_name_H-M 'P 1'
_symmetry_Int_Tables_number 1
loop_
_symmetry_equiv_pos_as_xyz
'x,y,z'
loop_
_atom_site_label
_atom_site_fract_x
_atom_site_fract_y
_atom_site_fract_z
Ho1 0.0000 0.6739 0.1739
Ho2 0.0000 0.3261 0.8261
Ho3 0.0000 0.1739 0.3261
Ho4 0.0000 0.8261 0.6739
Zn1 0.0000 0.1236 0.6236
Zn2 0.0000 0.8764 0.3764
Zn3 0.0000 0.6236 0.8764
Zn4 0.0000 0.3764 0.1236
In1 0.0000 0.0000 0.0000
In2 0.0000 0.5000 0.5000
Rh1 0.5000 0.2059 0.0708
Rh2 0.5000 0.7941 0.9292
Rh3 0.5000 0.0708 0.7941
Rh4 0.5000 0.7059 0.4292
Rh5 0.5000 0.9292 0.2059
Rh6 0.5000 0.2941 0.5708
Rh7 0.5000 0.5708 0.7059
Rh8 0.5000 0.4292 0.2941
Rh9 0.5000 0.5000 0.0000
Rh10 0.5000 0.0000 0.5000
```



The following is a PBE-GGA calculation of crystalline Tb3SiSeCl at its relaxed geometry, from the Alexandria database.

Symmetry: P2_1/m, No. 11
Formation energy (no corrections), eV per atom: -1.250
E, eV per cell: -64.29
Density of states at the Fermi level, states/eV/f.u.: 3.5

CIF file:
```
data_Tb3SiSeCl
_cell_length_a 4.0418
_cell_length_b 8.3442
_cell_length_c 10.1439
_cell_angle_alpha 91.87
_cell_angle_beta 90.00
_cell_angle_gamma 90.00
_symmetry_space_group_name_H-M 'P 1'
_symmetry_Int_Tables_number 1
loop_
_symmetry_equiv_pos_as_xyz
'x,y,z'
loop_
_atom_site_label
_atom_site_fract_x
_atom_site_fract_y
_atom_site_fract_z
Tb1 0.7500 0.8702 0.1310
Tb2 0.2500 0.1298 0.8690
Tb3 0.2500 0.6585 0.4071
Tb4 0.7500 0.3415 0.5929
Tb5 0.7500 0.3833 0.1468
Tb6 0.2500 0.6167 0.8532
Si1 0.2500 0.6286 0.1373
Si2 0.7500 0.3714 0.8627
Se1 0.2500 0.1262 0.1566
Se2 0.7500 0.8738 0.8434
Cl1 0.2500 0.1251 0.5876
Cl2 0.7500 0.8749 0.4124
```



The following is a PBE-GGA calculation of crystalline ThOsBr at its relaxed geometry, from the Alexandria database.

Symmetry: C2/m, No. 12
Formation energy (no corrections), eV per atom: -0.406
E, eV per cell: -43.08
Density of states at the Fermi level, states/eV/f.u.: 1.1
E above lowest polymorph, eV/f.u.: 1.48

CIF file:
```
data_ThOsBr
_cell_length_a 3.8953
_cell_length_b 5.1966
_cell_length_c 11.7292
_cell_angle_alpha 111.71
_cell_angle_beta 80.44
_cell_angle_gamma 67.99
_symmetry_space_group_name_H-M 'P 1'
_symmetry_Int_Tables_number 1
loop_
_symmetry_equiv_pos_as_xyz
'x,y,z'
loop_
_atom_site_label
_atom_site_fract_x
_atom_site_fract_y
_atom_site_fract_z
Th1 0.7511 0.1127 0.3851
Th2 0.2489 0.8873 0.6149
Os1 0.0438 0.5303 0.3821
Os2 0.9562 0.4697 0.6179
Br1 0.1928 0.4646 0.1498
Br2 0.8072 0.5354 0.8502
```



The following is a PBE-GGA calculation of crystalline BaTl4Bi2 at its relaxed geometry, from the Alexandria database.

Symmetry: Cmmm, No. 65
Formation enthalpy at 0 K, eV/atom: -0.276
E, eV per cell: -21.08
Density of states at the Fermi level, states/eV/f.u.: 2.9

CIF file:
```
data_BaTl4Bi2
_cell_length_a 4.8690
_cell_length_b 4.8964
_cell_length_c 10.9139
_cell_angle_alpha 102.96
_cell_angle_beta 90.00
_cell_angle_gamma 90.00
_symmetry_space_group_name_H-M 'P 1'
_symmetry_Int_Tables_number 1
loop_
_symmetry_equiv_pos_as_xyz
'x,y,z'
loop_
_atom_site_label
_atom_site_fract_x
_atom_site_fract_y
_atom_site_fract_z
Ba1 0.0000 0.0000 0.0000
Tl1 0.5000 0.8201 0.6401
Tl2 0.0000 0.6821 0.3642
Tl3 0.5000 0.1799 0.3599
Tl4 0.0000 0.3179 0.6358
Bi1 0.5000 0.5743 0.1485
Bi2 0.5000 0.4257 0.8515
```